1.
The following is a DFT calculation (PBE) of a relaxed structure of NaSrSnAs2.

Results
Calculated formation energy in eV/atom: -0.535
Raw total energy in eV/atom: -3.796
M_tot in μB/f.u.: 0.00

Cell and atoms, written as CIF:
```
data_NaSrSnAs2
_cell_length_a 15.939
_cell_length_b 4.879
_cell_length_c 10.594
_cell_angle_alpha 90.00
_cell_angle_beta 130.57
_cell_angle_gamma 90.00
_space_group_name_H-M_alt 'C 1 2/m 1'
_space_group_IT_number 12
_space_group_name_Hall '-C 2y'
loop_
_atom_site_label
_atom_site_fract_x
_atom_site_fract_y
_atom_site_fract_z
_atom_site_occupancy
Na1 0.143 0.000 0.399 1
Sr1 0.226 0.500 0.151 1
Sn1 0.050 0.500 0.712 1
As1 0.090 0.000 0.871 1
As2 0.162 0.500 0.587 1
```

***

2.
The following is a DFT calculation (PBE) of a relaxed structure of NaSr2Sn6As6.

Results
Calculated formation energy in eV/atom: -0.470
Raw total energy in eV/atom: -4.243
M_tot in μB/f.u.: 0.00

Cell and atoms, written as CIF:
```
data_NaSr2Sn6As6
_cell_length_a 7.245
_cell_length_b 12.550
_cell_length_c 9.486
_cell_angle_alpha 90.00
_cell_angle_beta 104.70
_cell_angle_gamma 90.00
_space_group_name_H-M_alt 'C 1 2/m 1'
_space_group_IT_number 12
_space_group_name_Hall '-C 2y'
loop_
_atom_site_label
_atom_site_fract_x
_atom_site_fract_y
_atom_site_fract_z
_atom_site_occupancy
Na1 0.000 0.000 0.000 1
Sr1 0.000 0.333 0.000 1
Sn1 0.208 0.332 0.629 1
Sn2 0.213 0.000 0.628 1
As1 0.091 0.165 0.780 1
As2 0.097 0.500 0.780 1
```

***

3.
The following is a DFT calculation (PBE) of a relaxed structure of Na2SrSnAs2.

Results
Calculated formation energy in eV/atom: -0.544
Raw total energy in eV/atom: -3.481
M_tot in μB/f.u.: 0.00

Cell and atoms, written as CIF:
```
data_Na2SrSnAs2
_cell_length_a 4.918
_cell_length_b 8.681
_cell_length_c 7.836
_cell_angle_alpha 90.00
_cell_angle_beta 90.00
_cell_angle_gamma 90.00
_space_group_name_H-M_alt 'P m c 21'
_space_group_IT_number 26
_space_group_name_Hall 'P 2c -2'
loop_
_atom_site_label
_atom_site_fract_x
_atom_site_fract_y
_atom_site_fract_z
_atom_site_occupancy
Na1 0.000 0.094 0.000 1
Na2 0.500 0.154 0.328 1
Sr1 0.500 0.450 0.960 1
Sn1 0.000 0.287 0.610 1
As1 0.000 0.386 0.244 1
As2 0.500 0.168 0.714 1
```

***

4.
The following is a DFT calculation (PBE) of a relaxed structure of Na2SnTe4As.

Results
Raw formation energy in meV per atom: -414.2
Raw total energy in eV/atom: -3.396
M_tot in μB/f.u.: 0.00

Cell and atoms, written as CIF:
```
data_Na2SnTe4As
_cell_length_a 7.425
_cell_length_b 4.278
_cell_length_c 8.073
_cell_angle_alpha 90.00
_cell_angle_beta 107.91
_cell_angle_gamma 90.00
_space_group_name_H-M_alt 'P 1 2/m 1'
_space_group_IT_number 10
_space_group_name_Hall '-P 2y'
loop_
_atom_site_label
_atom_site_fract_x
_atom_site_fract_y
_atom_site_fract_z
_atom_site_occupancy
Na1 0.000 0.000 0.000 1
Na2 0.500 0.500 0.000 1
Sn1 0.000 0.500 0.500 1
Te1 0.257 0.000 0.726 1
Te2 0.275 0.500 0.283 1
As1 0.500 0.000 0.500 1
```

***

5.
The following is a DFT calculation (PBE) of a relaxed structure of NaTl2SnAs2.

Results
Calculated formation energy in eV/atom: -0.135
Raw total energy in eV/atom: -3.361
M_tot in μB/f.u.: 0.00

Cell and atoms, written as CIF:
```
data_NaTl2SnAs2
_cell_length_a 5.120
_cell_length_b 9.196
_cell_length_c 7.012
_cell_angle_alpha 90.00
_cell_angle_beta 90.00
_cell_angle_gamma 90.00
_space_group_name_H-M_alt 'P m c 21'
_space_group_IT_number 26
_space_group_name_Hall 'P 2c -2'
loop_
_atom_site_label
_atom_site_fract_x
_atom_site_fract_y
_atom_site_fract_z
_atom_site_occupancy
Na1 0.000 0.038 0.000 1
Tl1 0.000 0.342 0.308 1
Tl2 0.500 0.412 0.999 1
Sn1 0.500 0.165 0.649 1
As1 0.000 0.283 0.730 1
As2 0.500 0.124 0.257 1
```

***

6.
The following is a DFT calculation (PBE) of a relaxed structure of NaTlSnAs.

Results
Calculated formation energy in eV/atom: -0.167
Raw total energy in eV/atom: -3.251
M_tot in μB/f.u.: 0.00

Cell and atoms, written as CIF:
```
data_NaTlSnAs
_cell_length_a 6.889
_cell_length_b 3.978
_cell_length_c 9.200
_cell_angle_alpha 90.00
_cell_angle_beta 104.38
_cell_angle_gamma 90.00
_space_group_name_H-M_alt 'C 1 m 1'
_space_group_IT_number 8
_space_group_name_Hall 'C -2y'
loop_
_atom_site_label
_atom_site_fract_x
_atom_site_fract_y
_atom_site_fract_z
_atom_site_occupancy
Na1 0.000 0.000 0.000 1
Tl1 0.427 0.000 0.278 1
Sn1 0.041 0.500 0.621 1
As1 0.260 0.000 0.779 1
```

***

- Among the records above, which one has the highest raw total energy?
  NaTlSnAs